Entry from Alexandria: an optimized crystal structure of SnSb2Pt (GGA-PBE).

Cell: 3.1678 3.1678 33.9533 Å, 90.00 90.00 120.00°
Space group R-3m (No. 166, hexagonal axes)
Symmetry-distinct sites (fractional):
Sn 0.0000 0.0000 0.0000
Sb 0.0000 0.0000 0.4229
Pt 0.0000 0.0000 0.5000

## Properties
As for the density of states at the Fermi level: 0.7924 states/eV per atom. Its energy is -4.38 eV/atom.

---

Entry from Alexandria: an optimized crystal structure of PuAl2CuO8 (GGA-PBE).

Cell: 6.734 6.388 6.015 Å, 90.00 95.36 90.00°
Space group C2/m (No. 12)
Symmetry-distinct sites (fractional):
Pu 0.000 0.000 0.000
Al 0.019 0.500 0.265
Cu 0.000 0.000 0.500
O 0.000 0.309 0.500
O 0.000 0.318 0.000
O 0.197 0.000 0.739
O 0.220 0.000 0.219

## Properties
As for the density of states at the Fermi level: 0.3694 states/eV per atom. Its energy is -7.52 eV/atom.

---

Entry from Alexandria: an optimized crystal structure of MgHPt3 (GGA-PBE).

Cell: 5.7578 5.7578 6.9605 Å, 90.00 90.00 120.00°
Space group R3m (No. 160, hexagonal axes)
Symmetry-distinct sites (fractional):
Mg 0.0000 0.0000 0.0000
H 0.0000 0.0000 0.3001
Pt 0.1745 0.3490 0.3382

## Properties
As for the density of states at the Fermi level: 0.7242 states/eV per atom. As for the energy above the most stable polymorph in this dataset: 0 meV/atom.

---

Entry from Alexandria: an optimized crystal structure of LaV2IrAu (GGA-PBE).

Cell: 4.631 4.631 4.872 Å, 90.00 90.00 90.00°
Space group P4/mmm (No. 123)
Symmetry-distinct sites (fractional):
La 0.000 0.000 0.000
V 0.000 0.500 0.000
Ir 0.000 0.000 0.500
Au 0.500 0.500 0.500

## Properties
As for the density of states at the Fermi level: 1.4059 states/eV per atom. The calculation puts the formation energy at 1.756 eV per atom.

---

Entry from Alexandria: an optimized crystal structure of NbOs2Pb (GGA-PBE).

Cell: 4.206 4.206 18.128 Å, 90.00 90.00 90.00°
Space group I-42d (No. 122)
Symmetry-distinct sites (fractional):
Nb 0.000 0.000 0.000
Os 0.180 0.250 0.125
Pb 0.000 0.000 0.500

## Properties
As for the density of states at the Fermi level: 1.0984 states/eV per atom. The calculation puts the formation energy at 0.989 eV per atom.

---

Entry from Alexandria: an optimized crystal structure of MnCo5H6 (GGA-PBE).

Cell: 4.554 7.914 4.550 Å, 90.00 109.43 90.00°
Space group C2/m (No. 12)
Symmetry-distinct sites (fractional):
Mn 0.000 0.000 0.000
Co 0.000 0.166 0.500
Co 0.000 0.333 0.000
Co 0.000 0.500 0.500
H 0.240 0.500 0.252
H 0.245 0.328 0.749

## Properties
As for the density of states at the Fermi level: 0.6817 states/eV per atom. Its energy is -5.41 eV/atom.

---

Entry from Alexandria: an optimized crystal structure of Ac3Hg (GGA-PBE).

Cell: 4.023 4.023 9.696 Å, 90.00 90.00 90.00°
Space group P4/mmm (No. 123)
Symmetry-distinct sites (fractional):
Ac 0.000 0.000 0.000
Ac 0.500 0.500 0.288
Hg 0.000 0.000 0.500

## Properties
As for the density of states at the Fermi level: 1.3776 states/eV per atom. The calculation puts the formation energy at -0.235 eV per atom. As for the energy above the most stable polymorph in this dataset: 0 meV/atom.

---

Entry from Alexandria: an optimized crystal structure of K2CaBO4 (GGA-PBE).

Cell: 6.469 6.469 5.697 Å, 90.00 90.00 90.00°
Space group I-42m (No. 121)
Symmetry-distinct sites (fractional):
K 0.000 0.500 0.000
Ca 0.000 0.000 0.000
B 0.000 0.000 0.500
O 0.132 0.132 0.342

## Properties
As for the density of states at the Fermi level: 0.8881 states/eV per atom. Its energy is -5.65 eV/atom.

---

Entry from Alexandria: an optimized crystal structure of Si2Ag2Pt (GGA-PBE).

Cell: 6.202 6.202 4.362 Å, 90.00 90.00 90.00°
Space group P4/mbm (No. 127)
Symmetry-distinct sites (fractional):
Si 0.132 0.368 0.000
Ag 0.184 0.684 0.500
Pt 0.000 0.000 0.000

## Properties
As for the density of states at the Fermi level: 0.2790 states/eV per atom. Its energy is -4.65 eV/atom.

---

Entry from Alexandria: an optimized crystal structure of PmSmGa2Pt2 (GGA-PBE).

Cell: 4.4832 4.4832 7.3121 Å, 90.00 90.00 120.00°
Space group P-3m1 (No. 164)
Symmetry-distinct sites (fractional):
Pm 0.0000 0.0000 0.0000
Sm 0.0000 0.0000 0.5000
Ga 0.3333 0.6667 0.2525
Pt 0.3333 0.6667 0.7473

## Properties
As for the density of states at the Fermi level: 0.6509 states/eV per atom. The calculation puts the formation energy at -1.027 eV per atom.

---

Taking the records one at a time from the top gives total magnetization values of 0.000; 0.079; 0.000; 0.527; 0.000; 0.695; 0.000; 0.128; 0.000; 0.000 μB/atom.